[1]
# Tb2DyCr2C4

A relaxed Tb2DyCr2C4 crystal (PBE-GGA, the Alexandria database).

Results
**Density of states at the Fermi level**: 7.2 states/eV/cell
**Calculated total energy**: -7.8993 eV/atom
**Space-group type**: C2/m, No. 12
**Formation energy**: -0.12 eV per atom

Lattice parameters (Å, degrees): 6.786 6.786 5.968 109.22 109.22 29.20
Fractional positions:
Tb1 0.135 0.135 0.043
Tb2 0.865 0.865 0.957
Dy1 0.000 0.000 0.500
Cr1 0.320 0.320 0.509
Cr2 0.680 0.680 0.491
C1 0.216 0.216 0.686
C2 0.454 0.454 0.745
C3 0.546 0.546 0.255
C4 0.784 0.784 0.314

[2]
# TbDy2Cr2C4

A relaxed TbDy2Cr2C4 crystal (PBE-GGA, the Alexandria database).

Results
**Density of states at the Fermi level**: 7.2 states/eV/cell
**Calculated total energy**: -7.8846 eV/atom
**Space-group type**: C2/m, No. 12
**Formation energy**: -0.11 eV per atom

Lattice parameters (Å, degrees): 6.784 6.784 5.966 109.63 109.63 29.17
Fractional positions:
Tb1 0.000 0.000 0.000
Dy1 0.135 0.135 0.544
Dy2 0.865 0.865 0.456
Cr1 0.320 0.320 0.011
Cr2 0.680 0.680 0.989
C1 0.216 0.216 0.188
C2 0.455 0.455 0.250
C3 0.545 0.545 0.750
C4 0.784 0.784 0.812

[3]
# DyTh2CrC4

A relaxed DyTh2CrC4 crystal (PBE-GGA, the Alexandria database).

Results
**Density of states at the Fermi level**: 8.5 states/eV/cell
**Calculated total energy**: -8.2639 eV/atom
**Space-group type**: Cmcm, No. 63
**Formation energy**: -0.02 eV per atom

Lattice parameters (Å, degrees): 6.205 6.205 12.639 90.00 90.00 146.23
Fractional positions:
Dy1 0.108 0.892 0.750
Dy2 0.892 0.108 0.250
Th1 0.366 0.634 0.545
Th2 0.366 0.634 0.955
Th3 0.634 0.366 0.045
Th4 0.634 0.366 0.455
Cr1 0.174 0.826 0.250
Cr2 0.826 0.174 0.750
C1 0.000 0.000 0.000
C2 0.000 0.000 0.500
C3 0.272 0.728 0.140
C4 0.272 0.728 0.360
C5 0.401 0.599 0.750
C6 0.599 0.401 0.250
C7 0.728 0.272 0.640
C8 0.728 0.272 0.860

[4]
# Dy2ThCr2C4

A relaxed Dy2ThCr2C4 crystal (PBE-GGA, the Alexandria database).

Results
**Density of states at the Fermi level**: 6.5 states/eV/cell
**Calculated total energy**: -8.1345 eV/atom
**Space-group type**: C2/m, No. 12
**Formation energy**: -0.05 eV per atom

Lattice parameters (Å, degrees): 6.831 6.831 6.166 111.43 111.43 29.25
Fractional positions:
Dy1 0.137 0.137 0.050
Dy2 0.863 0.863 0.950
Th1 0.000 0.000 0.500
Cr1 0.319 0.319 0.519
Cr2 0.681 0.681 0.481
C1 0.219 0.219 0.688
C2 0.461 0.461 0.765
C3 0.539 0.539 0.235
C4 0.781 0.781 0.312

[5]
# Dy2TmCr2C4

A relaxed Dy2TmCr2C4 crystal (PBE-GGA, the Alexandria database).

Results
**Density of states at the Fermi level**: 6.6 states/eV/cell
**Calculated total energy**: -7.9116 eV/atom
**Space-group type**: C2/m, No. 12
**Formation energy**: -0.15 eV per atom

Lattice parameters (Å, degrees): 6.706 6.706 5.947 109.43 109.43 29.32
Fractional positions:
Dy1 0.134 0.134 0.042
Dy2 0.866 0.866 0.958
Tm1 0.000 0.000 0.500
Cr1 0.321 0.321 0.511
Cr2 0.679 0.679 0.489
C1 0.215 0.215 0.690
C2 0.458 0.458 0.746
C3 0.542 0.542 0.254
C4 0.785 0.785 0.310

[6]
# DyTm2Cr2C4

A relaxed DyTm2Cr2C4 crystal (PBE-GGA, the Alexandria database).

Results
**Density of states at the Fermi level**: 6.6 states/eV/cell
**Calculated total energy**: -7.8655 eV/atom
**Space-group type**: C2/m, No. 12
**Formation energy**: -0.12 eV per atom

Lattice parameters (Å, degrees): 6.697 6.697 5.932 110.46 110.46 29.20
Fractional positions:
Dy1 0.000 0.000 0.000
Tm1 0.135 0.135 0.543
Tm2 0.865 0.865 0.457
Cr1 0.321 0.321 0.017
Cr2 0.679 0.679 0.983
C1 0.217 0.217 0.196
C2 0.461 0.461 0.259
C3 0.539 0.539 0.741
C4 0.783 0.783 0.804

[7]
# Dy2UCr2C4

A relaxed Dy2UCr2C4 crystal (PBE-GGA, the Alexandria database).

Results
**Density of states at the Fermi level**: 8.0 states/eV/cell
**Calculated total energy**: -8.6041 eV/atom
**Space-group type**: C2/m, No. 12
**Formation energy**: -0.09 eV per atom

Lattice parameters (Å, degrees): 6.588 6.588 6.015 108.49 108.49 29.68
Fractional positions:
Dy1 0.137 0.137 0.046
Dy2 0.863 0.863 0.954
U1 0.000 0.000 0.500
Cr1 0.319 0.319 0.508
Cr2 0.681 0.681 0.492
C1 0.220 0.220 0.706
C2 0.468 0.468 0.746
C3 0.532 0.532 0.254
C4 0.780 0.780 0.294

[8]
# DyY2Cr2C4

A relaxed DyY2Cr2C4 crystal (PBE-GGA, the Alexandria database).

Results
**Density of states at the Fermi level**: 7.1 states/eV/cell
**Calculated total energy**: -8.3042 eV/atom
**Space-group type**: C2/m, No. 12
**Formation energy**: -0.12 eV per atom

Lattice parameters (Å, degrees): 6.772 6.772 5.967 109.41 109.41 29.25
Fractional positions:
Dy1 0.000 0.000 0.000
Y1 0.135 0.135 0.543
Y2 0.865 0.865 0.457
Cr1 0.320 0.320 0.011
Cr2 0.680 0.680 0.989
C1 0.216 0.216 0.187
C2 0.456 0.456 0.247
C3 0.544 0.544 0.753
C4 0.784 0.784 0.813

[9]
# Er2Cr2C3

A relaxed Er2Cr2C3 crystal (PBE-GGA, the Alexandria database).

Results
**Density of states at the Fermi level**: 4.3 states/eV/cell
**Calculated total energy**: -8.3444 eV/atom
**Space-group type**: C2/m, No. 12
**Formation energy**: -0.34 eV per atom

Lattice parameters (Å, degrees): 5.474 5.474 5.522 105.31 105.31 35.54
Fractional positions:
Er1 0.107 0.107 0.316
Er2 0.893 0.893 0.684
Cr1 0.344 0.344 0.112
Cr2 0.656 0.656 0.888
C1 0.217 0.217 0.767
C2 0.500 0.500 0.000
C3 0.783 0.783 0.233

[10]
# ErCrC

A relaxed ErCrC crystal (PBE-GGA, the Alexandria database).

Results
**Density of states at the Fermi level**: 2.8 states/eV/cell
**Calculated total energy**: -7.4455 eV/atom
**Relative energy among the computed polymorphs**: 203 meV per atom
**Space-group type**: Pmmm, No. 47
**Formation energy**: 0.36 eV per atom

Lattice parameters (Å, degrees): 2.806 3.096 4.709 90.00 90.00 90.00
Fractional positions:
Er1 0.000 0.000 0.000
Cr1 0.000 0.500 0.500
C1 0.500 0.000 0.500

[11]
# ErCrC2

A relaxed ErCrC2 crystal (PBE-GGA, the Alexandria database).

Results
**Density of states at the Fermi level**: 2.5 states/eV/cell
**Calculated total energy**: -8.0987 eV/atom
**Space-group type**: R-3m, No. 166
**Formation energy**: 0.06 eV per atom

Lattice parameters (Å, degrees): 5.575 5.575 5.575 33.11 33.11 33.11
Fractional positions:
Er1 0.000 0.000 0.000
Cr1 0.500 0.500 0.500
C1 0.234 0.234 0.234
C2 0.766 0.766 0.766

[12]
# ErCrC

A relaxed ErCrC crystal (PBE-GGA, the Alexandria database).

Results
**Density of states at the Fermi level**: 2.1 states/eV/cell
**Calculated total energy**: -7.6487 eV/atom
**Relative energy among the computed polymorphs**: 0 meV per atom
**Space-group type**: P-6m2, No. 187
**Formation energy**: 0.15 eV per atom

Lattice parameters (Å, degrees): 3.482 3.482 4.023 90.00 90.00 120.00
Fractional positions:
Er1 0.000 0.000 0.000
Cr1 0.667 0.333 0.500
C1 0.333 0.667 0.500

Question: Which value of density of states at the Fermi level does entry 6 give?
Answer: 6.6 states/eV/cell

Question: The highest calculated total energy belongs to which entry?
Answer: number 10

Question: The lowest formation energy belongs to which entry?
Answer: Er2Cr2C3

Question: Among the records above, which one has the highest density of states at the Fermi level?
Answer: DyTh2CrC4